First-principles (meta-GGA SCAN) data for SrZn2Br at its PBEsol-relaxed geometry, as listed in Alexandria.

Geometry as CIF:
```
data_SrZn2Br
_chemical_formula_sum 'Sr1 Zn2 Br1'
_space_group_name_H-M_alt 'P 4 m m'
_space_group_IT_number 99
_space_group_name_Hall 'P 4 -2'
_cell_length_a 3.621
_cell_length_b 3.621
_cell_length_c 7.898
_cell_angle_alpha 90.00
_cell_angle_beta 90.00
_cell_angle_gamma 90.00
loop_
_atom_site_label
_atom_site_type_symbol
_atom_site_fract_x
_atom_site_fract_y
_atom_site_fract_z
Sr1 Sr 0.000 0.000 0.000
Zn1 Zn 0.000 0.000 0.395
Zn2 Zn 0.500 0.500 0.292
Br1 Br 0.500 0.500 0.782
```

Output
uncorrected formation energy: -0.58 eV per atom
crystal system: tetragonal